First-principles (PBEsol) data for crystalline SiBi2Cl at its relaxed geometry, as listed in Alexandria via LeMat-Bulk.

Cell lengths 8.237, 6.618, 8.237 Å; angles 51.51, 90.00, 128.49 degrees
Sites, in units of the cell vectors:
Si 0.250 0.500 0.250
Si 0.500 0.000 0.500
Bi 0.170 0.750 0.875
Bi 0.580 0.750 0.375
Bi 0.375 0.250 0.170
Bi 0.875 0.250 0.580
Cl 0.750 0.500 0.750
Cl 0.000 0.000 0.000

Values from the calculation:
E, eV per atom: -4.001